No. 1
AcNdHo14 | Alexandria via LeMat-Bulk | PBE | relaxed; calculated volume = 32.42 Å³ per atom; spin magnetization = 0.00 μB/cell; D(E_F) = 26.016 states/eV per cell; energy relative to the elements = 0.33 eV per formula unit
1.0
11.3285 0.0000 0.0000
0.0000 3.6414 6.2878
0.0000 -3.6414 6.2878
Ac Nd Ho
1 1 14
Direct
0.0000 0.0000 0.0000
0.0000 0.5003 0.5003
0.0000 0.0034 0.5011
0.0000 0.5011 0.0034
0.2516 0.6690 0.6690
0.2548 0.1700 0.1700
0.2567 0.1691 0.6661
0.2567 0.6661 0.1691
0.5000 0.0012 0.5015
0.5000 0.0018 0.0018
0.5000 0.5015 0.0012
0.5000 0.5016 0.5016
0.7433 0.1691 0.6661
0.7433 0.6661 0.1691
0.7452 0.1700 0.1700
0.7484 0.6690 0.6690

---

No. 2
DyReBr | Alexandria via LeMat-Bulk | PBE | relaxed; calculated volume = 28.29 Å³ per atom; spin magnetization = 0.00 μB/cell; D(E_F) = 4.155 states/eV per cell; uncorrected energy = -7.11 eV per atom
1.0
2.0610 1.1899 11.5343
-2.0610 1.1899 11.5343
0.0000 -2.3798 11.5343
Dy Re Br
2 2 2
Direct
0.0624 0.0624 0.0624
0.9376 0.9376 0.9376
0.3394 0.3394 0.3394
0.6606 0.6606 0.6606
0.2183 0.2183 0.2183
0.7817 0.7817 0.7817

---

No. 3
In2Bi4S9 | Alexandria via LeMat-Bulk | PBE | relaxed; calculated volume = 26.33 Å³ per atom; spin magnetization = 0.00 μB/cell; uncorrected energy = -4.25 eV per atom
1.0
6.0435 -3.4890 0.0000
6.0435 3.4890 0.0000
-0.0030 0.0000 18.7298
In Bi S
4 8 18
Direct
0.0003 0.9997 0.1505
0.0003 0.9997 0.3495
0.9997 0.0003 0.6505
0.9997 0.0003 0.8495
0.3334 0.3332 0.4817
0.3332 0.3334 0.9817
0.3328 0.3337 0.6865
0.3337 0.3328 0.1865
0.6663 0.6672 0.8135
0.6672 0.6663 0.3135
0.6668 0.6666 0.0183
0.6666 0.6668 0.5183
0.9995 0.2825 0.7499
0.0005 0.7175 0.2501
0.0343 0.6485 0.5856
0.0345 0.3173 0.0857
0.2816 0.7184 0.7500
0.2825 0.9995 0.2499
0.3173 0.0345 0.5857
0.3177 0.6480 0.0858
0.3515 0.9657 0.9144
0.3520 0.6823 0.4142
0.6480 0.3177 0.5858
0.6485 0.0343 0.0856
0.6823 0.3520 0.9142
0.6827 0.9655 0.4143
0.7175 0.0005 0.7501
0.7184 0.2816 0.2500
0.9655 0.6827 0.9143
0.9657 0.3515 0.4144

---

No. 4
FeCu2W | Alexandria via LeMat-Bulk | PBE | relaxed; calculated volume = 12.96 Å³ per atom; spin magnetization = 1.62 μB/cell; D(E_F) = 3.063 states/eV per cell; energy relative to the elements = 1.21 eV per formula unit
1.0
2.5568 0.0000 0.0000
0.0000 4.2793 0.0000
-1.0739 0.0000 4.7363
Fe Cu W
1 2 1
Direct
0.0000 0.0000 0.0000
0.1768 0.5000 0.7604
0.8232 0.5000 0.2396
0.5000 0.0000 0.5000

---

No. 5
La4Pd5Rh2 | Alexandria via LeMat-Bulk | PBE | relaxed; calculated volume = 22.24 Å³ per atom; spin magnetization = 0.00 μB/cell; D(E_F) = 4.850 states/eV per cell; energy relative to the elements = -8.56 eV per formula unit
1.0
7.2184 0.0000 0.0000
0.0000 4.0354 0.0000
-0.7807 0.0000 8.3999
La Pd Rh
4 5 2
Direct
0.2331 0.0000 0.3712
0.2389 0.0000 0.9011
0.7611 0.0000 0.0989
0.7669 0.0000 0.6288
0.1577 0.5000 0.6268
0.4835 0.5000 0.1715
0.5000 0.5000 0.5000
0.5165 0.5000 0.8285
0.8423 0.5000 0.3732
0.0953 0.5000 0.1459
0.9047 0.5000 0.8541

---

No. 6
CoPC | Alexandria via LeMat-Bulk | PBE | relaxed; calculated volume = 10.68 Å³ per atom; spin magnetization = 0.00 μB/cell; D(E_F) = 3.522 states/eV per cell; energy relative to the elements = 0.81 eV per formula unit
1.0
2.5941 0.0000 0.0000
0.0000 2.8808 0.0000
0.0000 0.0000 8.5758
Co P C
2 2 2
Direct
0.0000 0.0000 0.0000
0.0000 0.5000 0.5000
0.5000 0.0000 0.2080
0.5000 0.5000 0.7080
0.5000 0.0000 0.8325
0.5000 0.5000 0.3325

---

No. 7
Ba3PdBr | Alexandria via LeMat-Bulk | PBE | relaxed; calculated volume = 49.57 Å³ per atom; spin magnetization = 0.00 μB/cell; D(E_F) = 4.034 states/eV per cell; uncorrected energy = -3.12 eV per atom
1.0
6.2817 0.0000 0.0000
0.0000 6.2817 0.0000
0.0000 0.0000 6.2817
Ba Pd Br
3 1 1
Direct
0.0000 0.0000 0.5000
0.0000 0.5000 0.0000
0.5000 0.0000 0.0000
0.0000 0.0000 0.0000
0.5000 0.5000 0.5000